Entry one
# Ce3Al8Pd3

Crystalline Ce3Al8Pd3 at its relaxed geometry (PBE, the Alexandria database).

The structure in CIF format:
```
data_Ce3Al8Pd3
_chemical_formula_sum 'Ce6 Al16 Pd6'
_cell_length_a 15.965
_cell_length_b 4.550
_cell_length_c 8.894
_cell_angle_alpha 90.00
_cell_angle_beta 123.75
_cell_angle_gamma 90.00
_space_group_name_H-M_alt 'C 1 2/m 1'
_space_group_IT_number 12
loop_
_space_group_symop_operation_xyz
'x,y,z'
'-x,-y,-z'
'-x,y,-z'
'x,-y,z'
'x+1/2,y+1/2,z'
'-x+1/2,-y+1/2,-z'
'-x+1/2,y+1/2,-z'
'x+1/2,-y+1/2,z'
loop_
_atom_site_label
_atom_site_type_symbol
_atom_site_fract_x
_atom_site_fract_y
_atom_site_fract_z
Ce1 Ce 0.000 0.000 0.000
Ce2 Ce 0.218 0.500 0.705
Al1 Al 0.005 0.500 0.671
Al2 Al 0.135 0.000 0.429
Al3 Al 0.150 0.000 0.858
Al4 Al 0.151 0.500 0.285
Pd1 Pd 0.000 0.000 0.500
Pd2 Pd 0.151 0.500 0.001
```

***

Entry two
# Ce3Al8Pd3

Crystalline Ce3Al8Pd3 at its relaxed geometry (PBE, the Alexandria database).

The structure in CIF format:
```
data_Ce3Al8Pd3
_chemical_formula_sum 'Ce6 Al16 Pd6'
_cell_length_a 4.405
_cell_length_b 9.832
_cell_length_c 12.524
_cell_angle_alpha 90.00
_cell_angle_beta 90.00
_cell_angle_gamma 90.00
_space_group_name_H-M_alt 'I m m m'
_space_group_IT_number 71
_space_group_name_Hall '-I 2 2'
loop_
_atom_site_label
_atom_site_type_symbol
_atom_site_fract_x
_atom_site_fract_y
_atom_site_fract_z
Ce1 Ce 0.000 0.000 0.000
Ce2 Ce 0.000 0.000 0.306
Al1 Al 0.000 0.285 0.123
Al2 Al 0.000 0.364 0.338
Pd1 Pd 0.000 0.208 0.500
Pd2 Pd 0.000 0.500 0.000
```

***

Which of them is least stable? Easy: entry two.

***

Entry one
# CeAl4Pd2

Crystalline CeAl4Pd2 at its relaxed geometry (PBE, the Alexandria database).

The structure in CIF format:
```
data_CeAl4Pd2
_chemical_formula_sum 'Ce4 Al16 Pd8'
_cell_length_a 17.319
_cell_length_b 4.360
_cell_length_c 6.641
_cell_angle_alpha 90.00
_cell_angle_beta 90.00
_cell_angle_gamma 90.00
_space_group_name_H-M_alt 'P n m a'
_space_group_IT_number 62
loop_
_space_group_symop_operation_xyz
'x,y,z'
'-x,-y,-z'
'-x+1/2,-y,z+1/2'
'x+1/2,y,-z+1/2'
'x+1/2,-y+1/2,-z+1/2'
'-x+1/2,y+1/2,z+1/2'
'-x,y+1/2,-z'
'x,-y+1/2,z'
loop_
_atom_site_label
_atom_site_type_symbol
_atom_site_fract_x
_atom_site_fract_y
_atom_site_fract_z
Ce1 Ce 0.137 0.250 0.012
Al1 Al 0.036 0.750 0.822
Al2 Al 0.073 0.250 0.495
Al3 Al 0.186 0.750 0.324
Al4 Al 0.193 0.750 0.724
Pd1 Pd 0.037 0.750 0.246
Pd2 Pd 0.218 0.250 0.527
```

***

Entry two
# CeAl4Pd2

Crystalline CeAl4Pd2 at its relaxed geometry (PBE, the Alexandria database).

The structure in CIF format:
```
data_CeAl4Pd2
_chemical_formula_sum 'Ce2 Al8 Pd4'
_cell_length_a 7.799
_cell_length_b 7.799
_cell_length_c 4.174
_cell_angle_alpha 90.00
_cell_angle_beta 90.00
_cell_angle_gamma 90.00
_space_group_name_H-M_alt 'P 42/m n m'
_space_group_IT_number 136
_space_group_name_Hall '-P 4n 2n'
loop_
_atom_site_label
_atom_site_type_symbol
_atom_site_fract_x
_atom_site_fract_y
_atom_site_fract_z
Ce1 Ce 0.000 0.000 0.000
Al1 Al 0.084 0.337 0.500
Pd1 Pd 0.219 0.781 0.500
```

***

Which of them is least stable? Easy: entry two.

***

Entry one
# CeAl2Pd5

Crystalline CeAl2Pd5 at its relaxed geometry (PBE, the Alexandria database).

The structure in CIF format:
```
data_CeAl2Pd5
_chemical_formula_sum 'Ce2 Al4 Pd10'
_cell_length_a 3.916
_cell_length_b 7.059
_cell_length_c 10.196
_cell_angle_alpha 90.00
_cell_angle_beta 90.00
_cell_angle_gamma 90.00
_space_group_name_H-M_alt 'I m m m'
_space_group_IT_number 71
_space_group_name_Hall '-I 2 2'
loop_
_atom_site_label
_atom_site_type_symbol
_atom_site_fract_x
_atom_site_fract_y
_atom_site_fract_z
Ce1 Ce 0.000 0.000 0.000
Al1 Al 0.000 0.500 0.239
Pd1 Pd 0.000 0.200 0.357
Pd2 Pd 0.000 0.500 0.000
```

***

Entry two
# CeAl2Pd5

Crystalline CeAl2Pd5 at its relaxed geometry (PBE, the Alexandria database).

The structure in CIF format:
```
data_CeAl2Pd5
_chemical_formula_sum 'Ce2 Al4 Pd10'
_cell_length_a 4.194
_cell_length_b 4.194
_cell_length_c 14.938
_cell_angle_alpha 90.00
_cell_angle_beta 90.00
_cell_angle_gamma 90.00
_space_group_name_H-M_alt 'I 4/m m m'
_space_group_IT_number 139
_space_group_name_Hall '-I 4 2'
loop_
_atom_site_label
_atom_site_type_symbol
_atom_site_fract_x
_atom_site_fract_y
_atom_site_fract_z
Ce1 Ce 0.000 0.000 0.000
Al1 Al 0.000 0.000 0.253
Pd1 Pd 0.000 0.000 0.500
Pd2 Pd 0.000 0.500 0.145
```

***

Which of them is least stable? Easy: entry one.

***

Entry one
# Ce3PmAl8

Crystalline Ce3PmAl8 at its relaxed geometry (PBE, the Alexandria database).

The structure in CIF format:
```
data_Ce3PmAl8
_chemical_formula_sum 'Ce3 Pm1 Al8'
_cell_length_a 5.6492
_cell_length_b 5.6492
_cell_length_c 9.0767
_cell_angle_alpha 90.00
_cell_angle_beta 90.00
_cell_angle_gamma 120.00
_space_group_name_H-M_alt 'P 3 m 1'
_space_group_IT_number 156
loop_
_space_group_symop_operation_xyz
'x,y,z'
'-y,x-y,z'
'-x+y,-x,z'
'-y,-x,z'
'-x+y,y,z'
'x,x-y,z'
loop_
_atom_site_label
_atom_site_type_symbol
_atom_site_fract_x
_atom_site_fract_y
_atom_site_fract_z
Ce1 Ce 0.0000 0.0000 0.0000
Ce2 Ce 0.0000 0.0000 0.3235
Ce3 Ce 0.3333 0.6667 0.8453
Pm1 Pm 0.3333 0.6667 0.4841
Al1 Al 0.0101 0.5051 0.1621
Al2 Al 0.3232 0.1616 0.6632
Al3 Al 0.6667 0.3333 0.4102
Al4 Al 0.6667 0.3333 0.9122
```

***

Entry two
# Ce3PmAl8

Crystalline Ce3PmAl8 at its relaxed geometry (PBE, the Alexandria database).

The structure in CIF format:
```
data_Ce3PmAl8
_chemical_formula_sum 'Ce9 Pm3 Al24'
_cell_length_a 5.6346
_cell_length_b 5.6346
_cell_length_c 27.5312
_cell_angle_alpha 90.00
_cell_angle_beta 90.00
_cell_angle_gamma 120.00
_space_group_name_H-M_alt 'R 3 m'
_space_group_IT_number 160
_space_group_name_Hall 'R 3 -2"'
loop_
_atom_site_label
_atom_site_type_symbol
_atom_site_fract_x
_atom_site_fract_y
_atom_site_fract_z
Ce1 Ce 0.0000 0.0000 0.0000
Ce2 Ce 0.0000 0.0000 0.1225
Ce3 Ce 0.0000 0.0000 0.6263
Pm1 Pm 0.0000 0.0000 0.4995
Al1 Al 0.0000 0.0000 0.3118
Al2 Al 0.0000 0.0000 0.8121
Al3 Al 0.9995 0.4998 0.0623
Al4 Al 0.1670 0.3341 0.8954
```

***

Which of them is least stable? Easy: entry one.

***

Entry one
# CePmAlSi

Crystalline CePmAlSi at its relaxed geometry (PBE, the Alexandria database).

The structure in CIF format:
```
data_CePmAlSi
_chemical_formula_sum 'Ce4 Pm4 Al4 Si4'
_cell_length_a 7.288
_cell_length_b 7.288
_cell_length_c 7.288
_cell_angle_alpha 90.00
_cell_angle_beta 90.00
_cell_angle_gamma 90.00
_space_group_name_H-M_alt 'F -4 3 m'
_space_group_IT_number 216
_space_group_name_Hall 'F -4 2 3'
loop_
_atom_site_label
_atom_site_type_symbol
_atom_site_fract_x
_atom_site_fract_y
_atom_site_fract_z
Ce1 Ce 0.000 0.000 0.000
Pm1 Pm 0.000 0.000 0.500
Al1 Al 0.250 0.250 0.750
Si1 Si 0.250 0.250 0.250
```

***

Entry two
# CePmAlSi

Crystalline CePmAlSi at its relaxed geometry (PBE, the Alexandria database).

The structure in CIF format:
```
data_CePmAlSi
_chemical_formula_sum 'Ce2 Pm2 Al2 Si2'
_cell_length_a 4.045
_cell_length_b 4.422
_cell_length_c 11.231
_cell_angle_alpha 90.00
_cell_angle_beta 90.00
_cell_angle_gamma 90.00
_space_group_name_H-M_alt 'A m m 2'
_space_group_IT_number 38
loop_
_space_group_symop_operation_xyz
'x,y,z'
'-x,-y,z'
'-x,y,z'
'x,-y,z'
'x,y+1/2,z+1/2'
'-x,-y+1/2,z+1/2'
'-x,y+1/2,z+1/2'
'x,-y+1/2,z+1/2'
loop_
_atom_site_label
_atom_site_type_symbol
_atom_site_fract_x
_atom_site_fract_y
_atom_site_fract_z
Ce1 Ce 0.000 0.000 0.000
Pm1 Pm 0.500 0.000 0.288
Al1 Al 0.000 0.000 0.709
Si1 Si 0.500 0.000 0.570
```

***

Which of them is least stable? Easy: entry one.

***

Entry one
# CePr2Al

Crystalline CePr2Al at its relaxed geometry (PBE, the Alexandria database).

The structure in CIF format:
```
data_CePr2Al
_chemical_formula_sum 'Ce4 Pr8 Al4'
_cell_length_a 7.714
_cell_length_b 7.714
_cell_length_c 7.714
_cell_angle_alpha 90.00
_cell_angle_beta 90.00
_cell_angle_gamma 90.00
_space_group_name_H-M_alt 'F m -3 m'
_space_group_IT_number 225
_space_group_name_Hall '-F 4 2 3'
loop_
_atom_site_label
_atom_site_type_symbol
_atom_site_fract_x
_atom_site_fract_y
_atom_site_fract_z
Ce1 Ce 0.000 0.000 0.000
Pr1 Pr 0.250 0.250 0.250
Al1 Al 0.000 0.000 0.500
```

***

Entry two
# CePr2Al

Crystalline CePr2Al at its relaxed geometry (PBE, the Alexandria database).

The structure in CIF format:
```
data_CePr2Al
_chemical_formula_sum 'Ce1 Pr2 Al1'
_cell_length_a 3.621
_cell_length_b 3.621
_cell_length_c 8.978
_cell_angle_alpha 90.00
_cell_angle_beta 90.00
_cell_angle_gamma 90.00
_space_group_name_H-M_alt 'P 4/m m m'
_space_group_IT_number 123
_space_group_name_Hall '-P 4 2'
loop_
_atom_site_label
_atom_site_type_symbol
_atom_site_fract_x
_atom_site_fract_y
_atom_site_fract_z
Ce1 Ce 0.000 0.000 0.000
Pr1 Pr 0.500 0.500 0.278
Al1 Al 0.000 0.000 0.500
```

***

Which of them is least stable? Easy: entry one.